Entry 1:
VASP calculation (GGA-PBE) on a geometry-optimized LiFeAg2 structure. Values from VASP.

As for the total moment: 0.742 μB per atom. The value obtained for the formation energy is 0.509 eV/atom. The value obtained for the density of states at the Fermi level is 2.91 states/eV/f.u. As for the space-group type: I-42d (122). Its density is 6.66 g cm⁻³.

The structure in Quantum ESPRESSO input format:
```
&SYSTEM
  ibrav = 0, nat = 8, ntyp = 3
/
ATOMIC_SPECIES
Li 6.94 Li.upf
Fe 55.84 Fe.upf
Ag 107.87 Ag.upf
CELL_PARAMETERS angstrom
3.886 0.000 0.000
0.000 3.886 0.000
1.943 1.943 9.198
ATOMIC_POSITIONS crystal
Li 0.250 0.750 0.500
Li 0.500 0.500 0.000
Fe 0.750 0.250 0.500
Fe 0.000 0.000 0.000
Ag 0.375 0.376 0.750
Ag 0.126 0.625 0.250
Ag 0.875 0.874 0.750
Ag 0.624 0.125 0.250
```

---

Entry 2:
VASP calculation (GGA-PBE) on a geometry-optimized LiFeAg2 structure. Values from VASP.

As for the total moment: 0.747 μB per atom. The value obtained for the formation energy is 0.193 eV/atom. The value obtained for the density of states at the Fermi level is 3.92 states/eV/f.u. As for the space-group type: R-3m (166). Its density is 7.32 g cm⁻³.

The structure in Quantum ESPRESSO input format:
```
&SYSTEM
  ibrav = 0, nat = 4, ntyp = 3
/
ATOMIC_SPECIES
Fe 55.84 Fe.upf
Ag 107.87 Ag.upf
Li 6.94 Li.upf
CELL_PARAMETERS angstrom
9.150 -0.055 -0.032
8.724 2.761 -0.032
8.724 1.321 2.424
ATOMIC_POSITIONS crystal
Fe 0.250 0.250 0.250
Ag 0.500 0.500 0.500
Ag 0.000 0.000 0.000
Li 0.750 0.750 0.750
```

---

Entry 3:
VASP calculation (GGA-PBE) on a geometry-optimized LiFeAg2 structure. Values from VASP.

As for the total moment: 0.703 μB per atom. The value obtained for the formation energy is 0.224 eV/atom. The value obtained for the density of states at the Fermi level is 3.78 states/eV/f.u. As for the space-group type: Imm2 (44). Its density is 7.37 g cm⁻³.

The structure in Quantum ESPRESSO input format:
```
&SYSTEM
  ibrav = 0, nat = 4, ntyp = 3
/
ATOMIC_SPECIES
Li 6.94 Li.upf
Ag 107.87 Ag.upf
Fe 55.84 Fe.upf
CELL_PARAMETERS angstrom
-2.981 -2.954 3.521
1.591 -5.042 1.434
0.924 5.398 -0.155
ATOMIC_POSITIONS crystal
Li 0.251 0.751 0.500
Ag 0.743 0.243 0.500
Ag 0.005 0.005 0.000
Fe 0.501 0.501 0.000
```